1.
Compound: CrGa2Ru2
Source: Alexandria via LeMat-Bulk
Functional: PBE-GGA
Structure: relaxed

a b c (Å): 6.9117 6.9117 2.9667
angles (deg): 90.00 90.00 90.00
Positions (direct):
Cr (0.0000, 0.0000, 0.0000)
Cr (0.5000, 0.5000, 0.0000)
Ga (0.1380, 0.3620, 0.0000)
Ga (0.3620, 0.8620, 0.0000)
Ga (0.6380, 0.1380, 0.0000)
Ga (0.8620, 0.6380, 0.0000)
Ru (0.1618, 0.6618, 0.5000)
Ru (0.3382, 0.1618, 0.5000)
Ru (0.6618, 0.8382, 0.5000)
Ru (0.8382, 0.3382, 0.5000)

## Properties
Its excess energy over the best structure of this formula in the dataset is 0.0768 eV per atom. Its formation energy is 0.5 eV/f.u.

***

2.
Compound: CrGaRu3
Source: Alexandria via LeMat-Bulk
Functional: PBE-GGA
Structure: relaxed

a b c (Å): 4.4150 4.4150 4.4150
angles (deg): 90.00 90.00 90.00
Positions (direct):
Cr (0.0000, 0.0000, 0.0000)
Ga (0.5000, 0.5000, 0.5000)
Ru (0.0000, 0.0000, 0.5000)
Ru (0.0000, 0.5000, 0.0000)
Ru (0.5000, 0.0000, 0.0000)

## Properties
Its excess energy over the best structure of this formula in the dataset is 0.0000 eV per atom. Its formation energy is 5.6 eV/f.u.

***

3.
Compound: Cr2GaRu2
Source: Alexandria via LeMat-Bulk
Functional: PBE-GGA
Structure: relaxed

a b c (Å): 7.1147 7.1147 2.7542
angles (deg): 90.00 90.00 90.00
Positions (direct):
Cr (0.1181, 0.3819, 0.0000)
Cr (0.3819, 0.8819, 0.0000)
Cr (0.6181, 0.1181, 0.0000)
Cr (0.8819, 0.6181, 0.0000)
Ga (0.0000, 0.0000, 0.0000)
Ga (0.5000, 0.5000, 0.0000)
Ru (0.1700, 0.6700, 0.5000)
Ru (0.3300, 0.1700, 0.5000)
Ru (0.6700, 0.8300, 0.5000)
Ru (0.8300, 0.3300, 0.5000)

## Properties
Its excess energy over the best structure of this formula in the dataset is 0.0307 eV per atom. Its formation energy is 1.0 eV/f.u.

***

4.
Compound: Cr3GaRu
Source: Alexandria via LeMat-Bulk
Functional: PBE-GGA
Structure: relaxed

a b c (Å): 4.2749 4.2749 4.2749
angles (deg): 90.00 90.00 90.00
Positions (direct):
Cr (0.0000, 0.0000, 0.5000)
Cr (0.0000, 0.5000, 0.0000)
Cr (0.5000, 0.0000, 0.0000)
Ga (0.0000, 0.0000, 0.0000)
Ru (0.5000, 0.5000, 0.5000)

## Properties
Its excess energy over the best structure of this formula in the dataset is 0.4754 eV per atom. Its formation energy is 8.4 eV/f.u.

***

5.
Compound: CrGa5Ru6
Source: Alexandria via LeMat-Bulk
Functional: PBE-GGA
Structure: relaxed

a b c (Å): 6.7457 6.7457 6.0529
angles (deg): 90.00 90.00 143.09
Positions (direct):
Cr (0.0000, 0.0000, 0.0000)
Ga (0.0000, 0.0000, 0.5000)
Ga (0.3344, 0.6656, 0.5000)
Ga (0.3372, 0.6628, 0.0000)
Ga (0.6628, 0.3372, 0.0000)
Ga (0.6656, 0.3344, 0.5000)
Ru (0.1669, 0.8331, 0.2490)
Ru (0.1669, 0.8331, 0.7510)
Ru (0.5000, 0.5000, 0.2510)
Ru (0.5000, 0.5000, 0.7490)
Ru (0.8331, 0.1669, 0.2490)
Ru (0.8331, 0.1669, 0.7510)

## Properties
Its formation energy is -3.2 eV/f.u.

***

6.
Compound: CrGaSiRu
Source: Alexandria via LeMat-Bulk
Functional: PBE-GGA
Structure: relaxed

a b c (Å): 5.9818 5.9818 5.9818
angles (deg): 90.00 90.00 90.00
Positions (direct):
Cr (0.0000, 0.0000, 0.0000)
Cr (0.0000, 0.5000, 0.5000)
Cr (0.5000, 0.0000, 0.5000)
Cr (0.5000, 0.5000, 0.0000)
Ga (0.2500, 0.2500, 0.2500)
Ga (0.2500, 0.7500, 0.7500)
Ga (0.7500, 0.2500, 0.7500)
Ga (0.7500, 0.7500, 0.2500)
Si (0.2500, 0.2500, 0.7500)
Si (0.2500, 0.7500, 0.2500)
Si (0.7500, 0.2500, 0.2500)
Si (0.7500, 0.7500, 0.7500)
Ru (0.0000, 0.0000, 0.5000)
Ru (0.0000, 0.5000, 0.0000)
Ru (0.5000, 0.0000, 0.0000)
Ru (0.5000, 0.5000, 0.5000)

## Properties
As for the total energy: -7.087 eV per atom.

***

7.
Compound: TaCrGaRu2
Source: Alexandria via LeMat-Bulk
Functional: PBE-GGA
Structure: relaxed

a b c (Å): 4.4072 4.4072 4.6680
angles (deg): 90.00 90.00 90.00
Positions (direct):
Ta (0.0000, 0.0000, 0.0000)
Cr (0.5000, 0.5000, 0.0000)
Ga (0.0000, 0.0000, 0.5000)
Ru (0.0000, 0.5000, 0.5000)
Ru (0.5000, 0.0000, 0.5000)

## Properties
Its formation energy is 7.7 eV/f.u.

***

8.
Compound: Cr2GaTc2Ru5
Source: Alexandria via LeMat-Bulk
Functional: PBE-GGA
Structure: relaxed

a b c (Å): 8.5253 8.5253 3.9133
angles (deg): 90.00 90.00 90.00
Positions (direct):
Cr (0.1331, 0.3669, 0.0000)
Cr (0.3669, 0.8669, 0.0000)
Cr (0.6331, 0.1331, 0.0000)
Cr (0.8669, 0.6331, 0.0000)
Ga (0.0000, 0.0000, 0.0000)
Ga (0.5000, 0.5000, 0.0000)
Tc (0.1605, 0.6605, 0.0000)
Tc (0.3395, 0.1605, 0.0000)
Tc (0.6605, 0.8395, 0.0000)
Tc (0.8395, 0.3395, 0.0000)
Ru (0.0000, 0.5000, 0.5000)
Ru (0.0766, 0.1987, 0.5000)
Ru (0.1987, 0.9234, 0.5000)
Ru (0.3013, 0.4234, 0.5000)
Ru (0.4234, 0.6987, 0.5000)
Ru (0.5000, 0.0000, 0.5000)
Ru (0.5766, 0.3013, 0.5000)
Ru (0.6987, 0.5766, 0.5000)
Ru (0.8013, 0.0766, 0.5000)
Ru (0.9234, 0.8013, 0.5000)

## Properties
Its formation energy is 1.2 eV/f.u.

***

9.
Compound: CrGaTe2Ru
Source: Alexandria via LeMat-Bulk
Functional: PBE-GGA
Structure: relaxed

a b c (Å): 5.2230 5.2230 4.5485
angles (deg): 90.00 90.00 90.00
Positions (direct):
Cr (0.0000, 0.0000, 0.0000)
Ga (0.5000, 0.5000, 0.5000)
Te (0.0000, 0.5000, 0.5000)
Te (0.5000, 0.0000, 0.5000)
Ru (0.5000, 0.5000, 0.0000)

## Properties
As for the total energy: -4.150 eV per atom.

***

10.
Compound: Tl2CrGaRu
Source: Alexandria via LeMat-Bulk
Functional: PBE-GGA
Structure: relaxed

a b c (Å): 5.2638 5.2638 4.7842
angles (deg): 90.00 90.00 90.00
Positions (direct):
Tl (0.0000, 0.5000, 0.0000)
Tl (0.5000, 0.0000, 0.0000)
Cr (0.0000, 0.0000, 0.5000)
Ga (0.5000, 0.5000, 0.5000)
Ru (0.5000, 0.5000, 0.0000)

## Properties
Its formation energy is 3.1 eV/f.u.

***

11.
Compound: Tm2Cr2GaRu5
Source: Alexandria via LeMat-Bulk
Functional: PBE-GGA
Structure: relaxed

a b c (Å): 10.0862 10.0862 3.1618
angles (deg): 90.00 90.00 90.00
Positions (direct):
Tm (0.1723, 0.3277, 0.0000)
Tm (0.3277, 0.8277, 0.0000)
Tm (0.6723, 0.1723, 0.0000)
Tm (0.8277, 0.6723, 0.0000)
Cr (0.1323, 0.6323, 0.0000)
Cr (0.3677, 0.1323, 0.0000)
Cr (0.6323, 0.8677, 0.0000)
Cr (0.8677, 0.3677, 0.0000)
Ga (0.0000, 0.0000, 0.0000)
Ga (0.5000, 0.5000, 0.0000)
Ru (0.0000, 0.5000, 0.5000)
Ru (0.0637, 0.7976, 0.5000)
Ru (0.2024, 0.0637, 0.5000)
Ru (0.2976, 0.5637, 0.5000)
Ru (0.4363, 0.2976, 0.5000)
Ru (0.5000, 0.0000, 0.5000)
Ru (0.5637, 0.7024, 0.5000)
Ru (0.7024, 0.4363, 0.5000)
Ru (0.7976, 0.9363, 0.5000)
Ru (0.9363, 0.2024, 0.5000)

## Properties
Its formation energy is -1.4 eV/f.u.

***

12.
Compound: UCrGaRu
Source: Alexandria via LeMat-Bulk
Functional: PBE-GGA
Structure: relaxed

a b c (Å): 6.3864 6.3864 6.3864
angles (deg): 90.00 90.00 90.00
Positions (direct):
U (0.0000, 0.0000, 0.0000)
U (0.0000, 0.5000, 0.5000)
U (0.5000, 0.0000, 0.5000)
U (0.5000, 0.5000, 0.0000)
Cr (0.2500, 0.2500, 0.7500)
Cr (0.2500, 0.7500, 0.2500)
Cr (0.7500, 0.2500, 0.2500)
Cr (0.7500, 0.7500, 0.7500)
Ga (0.0000, 0.0000, 0.5000)
Ga (0.0000, 0.5000, 0.0000)
Ga (0.5000, 0.0000, 0.0000)
Ga (0.5000, 0.5000, 0.5000)
Ru (0.2500, 0.2500, 0.2500)
Ru (0.2500, 0.7500, 0.7500)
Ru (0.7500, 0.2500, 0.7500)
Ru (0.7500, 0.7500, 0.2500)

## Properties
Its formation energy is -0.2 eV/f.u.